Here is a relaxed structure of LiAs2Ru from Alexandria. Energies are from PBE.

Values from the calculation:
Fermi-level density of states	2.79	states/eV per cell
energy relative to the elements	-1.17	eV/f.u.

a = 3.005 Å, b = 3.065 Å, c = 14.668 Å
α = 90.00°, β = 90.00°, γ = 90.00°
Space group Imm2 (No. 44)
Unique sites:
Li  0.000  0.000  0.000
As  0.000  0.000  0.381
As  0.000  0.500  0.151
Ru  0.000  0.500  0.745

Here is a relaxed structure of Ca2Sm5Y6 from Alexandria. Energies are from PBE.

Values from the calculation:
Fermi-level density of states	41.88	states/eV per cell
energy relative to the elements	1.74	eV/f.u.

a = 12.181 Å, b = 20.598 Å, c = 3.572 Å
α = 90.00°, β = 90.00°, γ = 90.00°
Space group Pbam (No. 55)
Unique sites:
Ca  0.153  0.216  0.000
Sm  0.000  0.500  0.500
Sm  0.110  0.784  0.500
Sm  0.205  0.050  0.500
Y  0.055  0.924  0.000
Y  0.074  0.639  0.000
Y  0.182  0.383  0.500